Entry 1:
Material: NdEuTmSc
Method: DFT, PBE
State: relaxed

Calculated values
**Energy**: -6.307 eV per atom
**V**: 31.8 A^3/atom
**DOS(E_F)**: 6.13 states/eV/f.u.
**ΔH_f (0 K)**: 155 meV per atom

Lattice parameters (Å, degrees): 5.643 5.643 5.643 60.00 60.00 60.00
Sites, in units of the cell vectors:
Tm (0.750, 0.750, 0.750)
Sc (0.250, 0.250, 0.250)
Nd (0.000, 0.000, 0.000)
Eu (0.500, 0.500, 0.500)

***

Entry 2:
Material: NdEuYSc
Method: DFT, PBE
State: relaxed

Calculated values
**Energy**: -6.802 eV per atom
**V**: 32.4 A^3/atom
**DOS(E_F)**: 6.85 states/eV/f.u.
**ΔH_f (0 K)**: 158 meV per atom

Lattice parameters (Å, degrees): 5.680 5.680 5.680 60.00 60.00 60.00
Sites, in units of the cell vectors:
Eu (0.000, 0.000, 0.000)
Sc (0.500, 0.500, 0.500)
Nd (0.250, 0.250, 0.250)
Y (0.750, 0.750, 0.750)

***

Entry 3:
Material: Nd2EuSe
Method: DFT, PBE
State: relaxed

Calculated values
**Energy**: -6.489 eV per atom
**V**: 36.1 A^3/atom
**Formation energy from raw total energies**: -666 meV per atom
**DOS(E_F)**: 3.50 states/eV/f.u.

Lattice parameters (Å, degrees): 3.965 3.965 10.860 79.48 79.48 60.00
Sites, in units of the cell vectors:
Nd (0.111, 0.111, 0.668)
Nd (0.889, 0.889, 0.332)
Eu (0.000, 0.000, 0.000)
Se (0.500, 0.500, 0.500)

***

Entry 4:
Material: NdEuSe2
Method: DFT, PBE
State: relaxed

Calculated values
**Energy**: -7.442 eV per atom
**V**: 27.5 A^3/atom
**Formation energy from raw total energies**: -1939 meV per atom
**DOS(E_F)**: 1.64 states/eV/f.u.

Lattice parameters (Å, degrees): 4.247 4.247 7.453 73.45 73.45 60.00
Sites, in units of the cell vectors:
Eu (0.500, 0.500, 0.500)
Se (0.749, 0.749, 0.752)
Se (0.251, 0.251, 0.248)
Nd (0.000, 0.000, 0.000)

***

Entry 5:
Material: NdEuSi
Method: DFT, PBE
State: relaxed

Calculated values
**Energy**: -7.199 eV per atom
**V**: 31.0 A^3/atom
**Formation energy from raw total energies**: -377 meV per atom
**DOS(E_F)**: 8.45 states/eV/f.u.

Lattice parameters (Å, degrees): 5.088 5.088 5.088 60.00 60.00 60.00
Sites, in units of the cell vectors:
Nd (0.500, 0.500, 0.500)
Si (0.250, 0.250, 0.250)
Eu (0.000, 0.000, 0.000)

***

Entry 6:
Material: NdEuSi4
Method: DFT, PBE
State: relaxed

Calculated values
**Energy**: -6.425 eV per atom
**V**: 19.1 A^3/atom
**Formation energy from raw total energies**: -302 meV per atom
**DOS(E_F)**: 4.01 states/eV/f.u.

Lattice parameters (Å, degrees): 5.452 5.452 5.452 60.00 60.00 60.00
Sites, in units of the cell vectors:
Eu (0.250, 0.250, 0.250)
Si (0.629, 0.113, 0.629)
Si (0.629, 0.629, 0.629)
Si (0.629, 0.629, 0.113)
Si (0.113, 0.629, 0.629)
Nd (0.000, 0.000, 0.000)